No. 1
VASP calculation (GGA-PBE) on a relaxed LaMn crystal.

a = 3.5481 Å, b = 3.5481 Å, c = 13.9794 Å
α = 90.00°, β = 90.00°, γ = 120.00°
Element x y z (fractional)
La 0.0000 0.0000 0.0000
La 0.3333 0.6667 0.2344
La 0.3333 0.6667 0.7656
Mn 0.0000 0.0000 0.4042
Mn 0.0000 0.0000 0.5958
Mn 0.3333 0.6667 0.5000

## Properties
E_form   396 meV per atom
Symmetry   P-6m2 (187)
Crystal system   hexagonal


No. 2
VASP calculation (GGA-PBE) on a relaxed ZnCoCl2 crystal.

a = 3.2747 Å, b = 6.5874 Å, c = 9.4834 Å
α = 90.00°, β = 90.00°, γ = 90.00°
Element x y z (fractional)
Zn 0.0000 0.0000 0.0000
Zn 0.5000 0.5000 0.0000
Co 0.0000 0.0000 0.5000
Co 0.5000 0.5000 0.5000
Cl 0.0000 0.5000 0.3270
Cl 0.0000 0.5000 0.6730
Cl 0.5000 0.0000 0.3270
Cl 0.5000 0.0000 0.6730

## Properties
Raw formation energy   -23 kJ/mol of formula units
Energy above the lowest structure with this stoichiometry   280.1 meV/atom
Symmetry   Cmmm (65)
Crystal system   orthorhombic


No. 3
VASP calculation (GGA-PBE) on a relaxed NaPmZnCu crystal.

a = 7.0354 Å, b = 7.0354 Å, c = 7.0354 Å
α = 90.00°, β = 90.00°, γ = 90.00°
Element x y z (fractional)
Na 0.0000 0.0000 0.0000
Na 0.0000 0.5000 0.5000
Na 0.5000 0.0000 0.5000
Na 0.5000 0.5000 0.0000
Pm 0.0000 0.0000 0.5000
Pm 0.0000 0.5000 0.0000
Pm 0.5000 0.0000 0.0000
Pm 0.5000 0.5000 0.5000
Zn 0.2500 0.2500 0.2500
Zn 0.2500 0.7500 0.7500
Zn 0.7500 0.2500 0.7500
Zn 0.7500 0.7500 0.2500
Cu 0.2500 0.2500 0.7500
Cu 0.2500 0.7500 0.2500
Cu 0.7500 0.2500 0.2500
Cu 0.7500 0.7500 0.7500

## Properties
E_form   -1 meV per atom
Symmetry   F-43m (216)
Crystal system   cubic


No. 4
VASP calculation (GGA-PBE) on a relaxed CuPdN2 crystal.

a = 4.5886 Å, b = 4.5886 Å, c = 9.1763 Å
α = 90.00°, β = 90.00°, γ = 90.00°
Element x y z (fractional)
Cu 0.0000 0.0000 0.0000
Cu 0.0000 0.5000 0.2500
Cu 0.5000 0.0000 0.7500
Cu 0.5000 0.5000 0.5000
Pd 0.0000 0.0000 0.5000
Pd 0.0000 0.5000 0.7500
Pd 0.5000 0.0000 0.2500
Pd 0.5000 0.5000 0.0000
N 0.2371 0.2500 0.1250
N 0.2500 0.7371 0.3750
N 0.2500 0.7629 0.8750
N 0.2629 0.2500 0.6250
N 0.7371 0.7500 0.6250
N 0.7500 0.2371 0.8750
N 0.7500 0.2629 0.3750
N 0.7629 0.7500 0.1250

## Properties
Raw formation energy   383 kJ/mol of formula units
Energy above the lowest structure with this stoichiometry   82.2 meV/atom
Symmetry   I-42d (122)
Crystal system   tetragonal


> What is the formula in the second record?

ZnCoCl2